Entry from Alexandria: a geometry-optimized Cd2Co3HgO8 structure (PBE+U).

**Calculated volume**: 12.3 Å³/atom
**E**: -4.86 eV per atom
**Space-group type**: P1, No. 1

Unit cell a=6.0648 b=6.1060 c=6.3112 alpha=118.04 beta=90.09 gamma=118.92
Positions (direct):
Cd: 0.0000 0.0000 0.0000
Cd: 0.3947 0.7688 0.1320
Co: 0.0007 0.4967 0.5024
Co: 0.4977 0.4976 0.5021
Co: 0.9991 0.9972 0.4998
Hg: 0.6084 0.2415 0.8910
O: 0.1754 0.9124 0.6692
O: 0.2565 0.5068 0.7088
O: 0.2618 0.0756 0.3301
O: 0.2705 0.4919 0.2905
O: 0.7282 0.5034 0.7084
O: 0.7348 0.9160 0.6671
O: 0.7471 0.4964 0.3042
O: 0.8215 0.0787 0.3276